Material: MgBSe2
Method: DFT, meta-GGA SCAN
State: single point on PBEsol structure

For the excess energy over the best structure of this formula in the dataset, the calculation gives 42 meV per atom. For the uncorrected formation energy, the calculation gives -0.124 eV/atom. The total energy is -13.26 eV per atom.

It has space group I-42d (No. 122), with a = 5.769 Å, b = 5.769 Å, c = 9.292 Å, α = 90.00°, β = 90.00° and γ = 90.00°. The asymmetric unit holds Mg at (0.000, 0.000, 0.000), B at (0.000, 0.000, 0.500) and Se at (0.174, 0.250, 0.625).

---

Material: MgSi2B
Method: DFT, meta-GGA SCAN
State: single point on PBEsol structure

For the excess energy over the best structure of this formula in the dataset, the calculation gives 883 meV per atom. For the uncorrected formation energy, the calculation gives 1.101 eV/atom. The total energy is -7.01 eV per atom.

It has space group Fm-3m (No. 225), with a = 6.072 Å, b = 6.072 Å, c = 6.072 Å, α = 90.00°, β = 90.00° and γ = 90.00°. The asymmetric unit holds Mg at (0.000, 0.000, 0.000), Si at (0.250, 0.250, 0.250) and B at (0.000, 0.000, 0.500).

---

Material: MgSi2B
Method: DFT, meta-GGA SCAN
State: single point on PBEsol structure

For the excess energy over the best structure of this formula in the dataset, the calculation gives 0 meV per atom. For the uncorrected formation energy, the calculation gives 0.218 eV/atom. The total energy is -7.89 eV per atom.

It has space group I-42d (No. 122), with a = 6.707 Å, b = 6.707 Å, c = 4.865 Å, α = 90.00°, β = 90.00° and γ = 90.00°. The asymmetric unit holds Mg at (0.000, 0.000, 0.000), Si at (0.165, 0.250, 0.625) and B at (0.000, 0.000, 0.500).